# 1
Here is P2PbSO after structural relaxation from the Alexandria database. Energies are from GGA-PBE.

Cell lengths 5.5276, 5.5276, 3.4573 Å; angles 90.00, 90.00, 90.00 degrees
With the nearest neighbours (Å) after each atom.
Space group P4/mmm (No. 123)
Symmetry-distinct sites (fractional):
P  0.0000  0.5000  0.0000 (multiplicity 2)  2 S 2.76
Pb  0.0000  0.0000  0.5000 (multiplicity 1)  8 P 3.26, 2 Pb 3.46
S  0.5000  0.5000  0.0000 (multiplicity 1)  2 O 1.73
O  0.5000  0.5000  0.5000 (multiplicity 1)  2 S 1.73

Summary:
For the energy above the most stable polymorph in this dataset, the calculation gives 0.181 eV per atom. The raw formation energy is 2.52 eV/f.u.



# 2
Here is PPbS2O after structural relaxation from the Alexandria database. Energies are from GGA-PBE.

Cell lengths 5.2716, 5.2716, 5.3879 Å; angles 90.00, 90.00, 90.00 degrees
With the nearest neighbours (Å) after each atom.
Space group P4/mmm (No. 123)
Symmetry-distinct sites (fractional):
P  0.0000  0.0000  0.0000 (multiplicity 1)  2 Pb 2.69
Pb  0.0000  0.0000  0.5000 (multiplicity 1)  4 S 2.64, 2 P 2.69
S  0.0000  0.5000  0.5000 (multiplicity 2)  2 Pb 2.64
O  0.5000  0.5000  0.0000 (multiplicity 1)  4 P 3.73, 8 S 3.77

Summary:
For the energy above the most stable polymorph in this dataset, the calculation gives 1.078 eV per atom. The raw formation energy is 7.39 eV/f.u.



# 3
Here is SbPPbO2 after structural relaxation from the Alexandria database. Energies are from GGA-PBE.

Cell lengths 4.2152, 4.2152, 5.3792 Å; angles 90.00, 90.00, 90.00 degrees
With the nearest neighbours (Å) after each atom.
Space group P4/mmm (No. 123)
Symmetry-distinct sites (fractional):
Sb  0.0000  0.0000  0.0000 (multiplicity 1)  4 P 2.98
P  0.5000  0.5000  0.0000 (multiplicity 1)  2 Pb 2.69, 4 Sb 2.98
Pb  0.5000  0.5000  0.5000 (multiplicity 1)  4 O 2.11
O  0.0000  0.5000  0.5000 (multiplicity 2)  2 Pb 2.11

Summary:
For the energy above the most stable polymorph in this dataset, the calculation gives 0.609 eV per atom. The raw formation energy is 0.49 eV/f.u.



# 4
Here is SbPPbO2 after structural relaxation from the Alexandria database. Energies are from GGA-PBE.

Cell lengths 4.1180, 4.1180, 5.1954 Å; angles 90.00, 90.00, 90.00 degrees
With the nearest neighbours (Å) after each atom.
Space group P4/mmm (No. 123)
Symmetry-distinct sites (fractional):
Sb  0.0000  0.0000  0.0000 (multiplicity 1)  4 O 2.06
P  0.0000  0.0000  0.5000 (multiplicity 1)  2 Sb 2.60
Pb  0.5000  0.5000  0.5000 (multiplicity 1)  4 P 2.91
O  0.0000  0.5000  0.0000 (multiplicity 2)  2 Sb 2.06

Summary:
For the energy above the most stable polymorph in this dataset, the calculation gives 0.000 eV per atom. The raw formation energy is -2.56 eV/f.u.



# 5
Here is SbP2PbO8 after structural relaxation from the Alexandria database. Energies are from GGA-PBE.

Cell lengths 4.8774, 4.8774, 23.6030 Å; angles 90.00, 90.00, 120.00 degrees
With the nearest neighbours (Å) after each atom.
Space group R32 (No. 155, hexagonal axes)
Symmetry-distinct sites (fractional):
Sb  0.0000  0.0000  0.0000 (multiplicity 3)  6 O 2.17
P  0.0000  0.0000  0.2526 (multiplicity 6)  4 O 1.53-1.56
Pb  0.0000  0.0000  0.5000 (multiplicity 3)  12 O 2.86-3.09
O  0.0000  0.0000  0.1876 (multiplicity 6)  1 P 1.53
O  0.0147  0.3100  0.7258 (multiplicity 18)  1 P 1.56

Summary:
The raw formation energy is -21.11 eV/f.u.



# 6
Here is ScP2PbO after structural relaxation from the Alexandria database. Energies are from GGA-PBE.

Cell lengths 5.1553, 5.1553, 4.1380 Å; angles 90.00, 90.00, 90.00 degrees
With the nearest neighbours (Å) after each atom.
Space group P4/mmm (No. 123)
Symmetry-distinct sites (fractional):
Sc  0.0000  0.0000  0.0000 (multiplicity 1)  8 P 3.31, 4 O 3.65
P  0.0000  0.5000  0.5000 (multiplicity 2)  2 Pb 2.58
Pb  0.5000  0.5000  0.5000 (multiplicity 1)  2 O 2.07
O  0.5000  0.5000  0.0000 (multiplicity 1)  2 Pb 2.07

Summary:
For the energy above the most stable polymorph in this dataset, the calculation gives 0.000 eV per atom. The raw formation energy is 1.56 eV/f.u.



# 7
Here is ScPPbO2 after structural relaxation from the Alexandria database. Energies are from GGA-PBE.

Cell lengths 4.1483, 4.1483, 5.3715 Å; angles 90.00, 90.00, 90.00 degrees
With the nearest neighbours (Å) after each atom.
Space group P4/mmm (No. 123)
Symmetry-distinct sites (fractional):
Sc  0.0000  0.0000  0.0000 (multiplicity 1)  4 P 2.93
P  0.5000  0.5000  0.0000 (multiplicity 1)  2 Pb 2.69, 4 Sc 2.93
Pb  0.5000  0.5000  0.5000 (multiplicity 1)  4 O 2.07
O  0.0000  0.5000  0.5000 (multiplicity 2)  2 Pb 2.07

Summary:
For the energy above the most stable polymorph in this dataset, the calculation gives 0.750 eV per atom. The raw formation energy is -2.27 eV/f.u.



# 8
Here is ScP2PbO after structural relaxation from the Alexandria database. Energies are from GGA-PBE.

Cell lengths 7.3839, 7.3839, 3.7980 Å; angles 90.00, 90.00, 90.00 degrees
With the nearest neighbours (Å) after each atom.
Space group P4/mmm (No. 123)
Symmetry-distinct sites (fractional):
Sc  0.0000  0.0000  0.0000 (multiplicity 1)  2 O 1.90
P  0.0000  0.5000  0.0000 (multiplicity 2)  2 Sc 3.69, 2 P 3.80
Pb  0.5000  0.5000  0.5000 (multiplicity 1)  2 Pb 3.80, 8 P 4.15
O  0.0000  0.0000  0.5000 (multiplicity 1)  2 Sc 1.90

Summary:
For the energy above the most stable polymorph in this dataset, the calculation gives 0.089 eV per atom. The raw formation energy is 2.00 eV/f.u.